Compound: NpCoBi2O6
Source: Alexandria
Functional: PBE+U
Structure: optimized geometry

Cell and atoms, written as CIF:
```
data_NpCoBi2O6
_chemical_formula_sum 'Np2 Co2 Bi4 O12'
_cell_length_a 5.659
_cell_length_b 6.118
_cell_length_c 9.971
_cell_angle_alpha 90.00
_cell_angle_beta 124.53
_cell_angle_gamma 90.00
_symmetry_space_group_name_H-M 'P 1 21/c 1'
_symmetry_Int_Tables_number 14
loop_
_symmetry_equiv_pos_as_xyz
'x,y,z'
'-x,-y,-z'
'-x,y+1/2,-z+1/2'
'x,-y+1/2,z+1/2'
loop_
_atom_site_label
_atom_site_fract_x
_atom_site_fract_y
_atom_site_fract_z
Np1 0.000 0.000 0.000
Co1 0.500 0.000 0.500
Bi1 0.252 0.045 0.741
O1 0.133 0.045 0.259
O2 0.227 0.680 0.051
O3 0.384 0.189 0.063
```

Uncorrected energy ... -7.1851 eV/atom